Entry from the Alexandria database: an optimized crystal structure of Er2AlCoO6 (PBE with a Hubbard U).

Structure (POSCAR):
```
Er2AlCoO6
1.0
-0.818 1.958 -4.706
4.336 -2.654 -1.858
-4.273 -5.774 -1.724
Co O Er Al
2 12 4 2
Cartesian
0.032 -4.214 -1.791
-0.409 0.979 -2.353
-1.445 -0.361 -3.301
0.690 -6.108 -4.987
-1.259 -6.018 -6.904
0.494 -1.065 -5.654
-3.324 -4.918 -5.491
0.504 -0.451 -1.385
0.881 -3.863 -3.515
-1.228 -2.736 -2.083
2.569 -1.551 -2.798
-1.249 -5.404 -2.635
-1.636 -2.607 -4.774
0.473 -3.733 -6.205
-1.172 -4.823 -4.781
0.417 -1.646 -3.507
2.963 -3.888 -2.247
-3.718 -2.581 -6.042
2.168 -1.327 -0.929
-2.545 -1.908 -3.215
```

Summary:
For the total energy, the calculation gives -151.64 eV per cell. As for the symmetry: P2_1/c, No. 14. As for the size of the total moment: 0.00 μB per cell.